(1)
A PBEsol-optimized structure of KTaHg2. Source: Alexandria, functional SCAN.

Summary:
- space group = Cmmm, No. 65
- offset from the most stable computed form (meV per atom) = 43
- energy relative to the elements (eV/atom) = 0.32

Unit cell a=2.887 b=5.464 c=5.464 alpha=90.10 beta=90.00 gamma=90.00
Fractional positions:
Hg 0.000 0.500 0.000
Ta 0.500 0.000 0.000
Hg 0.000 0.000 0.500
K 0.500 0.500 0.500

***

(2)
A PBEsol-optimized structure of Si3Sb. Source: Alexandria, functional SCAN.

Summary:
- space group = I4/mmm, No. 139

Unit cell a=3.631 b=3.631 c=11.506 alpha=99.08 beta=99.08 gamma=90.00
Fractional positions:
Si 0.250 0.750 0.500
Si 0.500 0.000 0.000
Si 0.172 0.172 0.343
Si 0.750 0.250 0.500
Sb 0.604 0.604 0.208
Si 0.828 0.828 0.657
Sb 0.396 0.396 0.792
Si 0.000 0.500 0.000

***

(3)
A PBEsol-optimized structure of Hf2CdP2. Source: Alexandria, functional SCAN.

Summary:
- space group = I4/mmm, No. 139
- energy relative to the elements (eV/atom) = -0.50

Unit cell a=3.439 b=3.439 c=7.889 alpha=102.59 beta=102.59 gamma=90.00
Fractional positions:
Hf 0.619 0.619 0.238
P 0.250 0.750 0.500
P 0.750 0.250 0.500
Hf 0.381 0.381 0.762
Cd 0.000 0.000 0.000

***

| no. | DFT total energy (eV per atom) | magnetic moment (μB/f.u.) |
| --- | --- | --- |
| 1 | -52.488 | 0.0 |
| 2 | -16.267 | 0.0 |
| 3 | -35.812 | 0.0 |